YAl4Cu: relaxed, PBE-GGA.

The raw total energy comes out at -103.9 eV for the cell shown. For the formation energy from the elements, the calculation gives -0.44 eV/f.u.

It has space group F-43m (No. 216), with a = 7.649 Å, b = 7.649 Å, c = 7.649 Å, α = 90.00°, β = 90.00° and γ = 90.00°. The inequivalent atoms are Y at (0.000, 0.000, 0.000), Al at (0.125, 0.125, 0.625) and Cu at (0.250, 0.250, 0.250).